1.
{"formula": "NdZnGa4", "functional": "PBE-GGA", "state": "optimized geometry", "final_energy_ev_per_atom": -3.297, "total_magnetization_mub_per_cell": 0.000, "crystal_system": "orthorhombic", "cell": [[-3.280, -0.034, 3.139], [-2.898, -5.038, 0.201], [1.950, -1.360, 5.307]], "species": ["Nd", "Zn", "Ga", "Ga", "Ga", "Ga"], "frac_coords": [[0.000, 0.000, 0.000], [0.500, 0.500, 0.500], [0.307, 0.389, 0.998], [0.307, 0.998, 0.389], [0.693, 0.611, 0.002], [0.693, 0.002, 0.611]]}

2.
{"formula": "Pr6SiTe12", "functional": "PBE-GGA", "state": "optimized geometry", "raw_formation_energy_ev_per_atom": -1.055, "final_energy_ev_per_atom": -4.834, "total_magnetization_mub_per_cell": 0.000, "crystal_system": "trigonal", "cell": [[-0.475, 8.263, -3.309], [2.046, -4.380, -7.489], [-8.711, -1.856, 0.358]], "species": ["Pr", "Pr", "Pr", "Pr", "Pr", "Pr", "Si", "Te", "Te", "Te", "Te", "Te", "Te", "Te", "Te", "Te", "Te", "Te", "Te"], "frac_coords": [[0.695, 0.870, 0.358], [0.642, 0.305, 0.130], [0.130, 0.642, 0.305], [0.305, 0.130, 0.642], [0.358, 0.695, 0.870], [0.870, 0.358, 0.695], [0.000, 0.000, 0.000], [0.815, 0.566, 0.430], [0.430, 0.815, 0.566], [0.566, 0.430, 0.815], [0.185, 0.434, 0.570], [0.570, 0.185, 0.434], [0.434, 0.570, 0.185], [0.047, 0.987, 0.315], [0.013, 0.685, 0.953], [0.685, 0.953, 0.013], [0.953, 0.013, 0.685], [0.987, 0.315, 0.047], [0.315, 0.047, 0.987]]}

3.
{"formula": "Ti2CdCoH", "functional": "PBE-GGA", "state": "optimized geometry", "final_energy_ev_per_atom": -5.533, "total_magnetization_mub_per_cell": 1.207, "crystal_system": "tetragonal", "cell": [[-2.395, 3.094, 1.417], [-1.825, -2.630, 2.660], [2.586, 0.819, 2.584]], "species": ["H", "Ti", "Ti", "Co", "Cd"], "frac_coords": [[0.000, 0.000, 0.000], [0.000, 0.500, 0.000], [0.500, 0.000, 0.000], [0.000, 0.000, 0.500], [0.500, 0.500, 0.500]]}

4.
{"formula": "Te6MoPt", "functional": "PBE-GGA", "state": "optimized geometry", "raw_formation_energy_ev_per_atom": -0.098, "final_energy_ev_per_atom": -4.563, "total_magnetization_mub_per_cell": 0.001, "crystal_system": "triclinic", "cell": [[-4.049, -2.304, 4.863], [-5.934, -2.956, -1.541], [-1.047, -6.784, 0.857]], "species": ["Te", "Te", "Te", "Te", "Te", "Te", "Mo", "Pt"], "frac_coords": [[0.052, 0.452, 0.721], [0.722, 0.062, 0.780], [0.566, 0.235, 0.274], [0.278, 0.938, 0.220], [0.948, 0.548, 0.279], [0.434, 0.765, 0.726], [0.500, 0.500, 0.500], [0.000, 0.000, 0.000]]}

5.
{"formula": "La6PrNd2Sm", "functional": "PBE-GGA", "state": "optimized geometry", "final_energy_ev_per_atom": -4.688, "total_magnetization_mub_per_cell": 0.000, "crystal_system": "monoclinic", "cell": [[9.218, 0.000, 1.072], [0.000, 7.093, 0.000], [-2.348, -3.547, 5.303]], "species": ["La", "La", "La", "La", "La", "La", "Pr", "Nd", "Nd", "Sm"], "frac_coords": [[0.422, 0.627, 0.255], [0.200, 0.040, 0.612], [0.800, 0.428, 0.388], [0.200, 0.572, 0.612], [0.800, 0.960, 0.388], [0.578, 0.373, 0.745], [0.000, 0.500, 0.000], [0.171, 0.077, 0.154], [0.829, 0.923, 0.846], [0.500, 0.000, 0.000]]}

6.
{"formula": "In2Fe2Se", "functional": "PBE-GGA", "state": "optimized geometry", "raw_formation_energy_ev_per_atom": 0.189, "final_energy_ev_per_atom": -4.988, "e_above_lowest_polymorph_ev_per_fu": 0.000, "total_magnetization_mub_per_cell": 10.931, "crystal_system": "tetragonal", "cell": [[6.648, 0.000, 0.000], [0.000, 6.648, 0.000], [0.000, 0.000, 4.230]], "species": ["Fe", "Fe", "Fe", "Fe", "Se", "Se", "In", "In", "In", "In"], "frac_coords": [[0.371, 0.871, 0.000], [0.871, 0.629, 0.000], [0.629, 0.129, 0.000], [0.129, 0.371, 0.000], [0.000, 0.000, 0.000], [0.500, 0.500, 0.000], [0.164, 0.664, 0.500], [0.664, 0.836, 0.500], [0.836, 0.336, 0.500], [0.336, 0.164, 0.500]]}